PuTl3Ni2O6: optimized geometry, GGA+U.

Output
DOS(E_F)   0.65 states/eV per atom
Electronic total energy   -71.3 eV per cell

Lattice parameters (Å, degrees): 5.511 5.511 7.138 97.46 97.46 120.01
Fractional coordinates of all 12 atoms:
O1 0.379 0.052 0.156
O2 0.948 0.621 0.844
O3 0.052 0.379 0.156
O4 0.621 0.948 0.844
O5 0.274 0.274 0.844
O6 0.726 0.726 0.156
Tl1 0.168 0.832 0.500
Tl2 0.500 0.500 0.500
Tl3 0.832 0.168 0.500
Ni1 0.333 0.667 0.000
Ni2 0.667 0.333 0.000
Pu1 0.000 0.000 0.000